Computed, not measured: a geometry-optimized IrRu2Rh structure at the PBE level of DFT.

```
IrRu2Rh
1.0
-1.110 -1.562 -1.919
3.298 0.106 -1.995
1.715 -4.415 2.601
Rh Ru Ir
1 2 1
Direct
0.500 0.500 0.750
0.000 0.000 0.499
0.000 0.000 0.001
0.500 0.500 0.250
```

Calculated values
The space-group type is Pmmm, No. 47. As for the energy relative to the lowest polymorph listed for this composition: 0.042 eV per formula unit. As for the formation energy: 0.068 eV/f.u. Its raw total energy is -8.6740 eV per atom.

Computed, not measured: a geometry-optimized LaFeCu structure at the PBE level of DFT.

```
LaFeCu
1.0
-3.826 -0.017 -2.344
0.087 -0.693 -4.433
-1.573 -3.843 -1.701
La Cu Fe
1 1 1
Direct
0.000 0.000 0.000
0.500 0.500 0.500
0.750 0.750 0.750
```

Calculated values
The space-group type is F-43m, No. 216. As for the formation energy: 1.241 eV/f.u. Its raw total energy is -5.4150 eV per atom.